{"formula": "CaLa2TlCo", "functional": "PBE", "state": "relaxed", "lattice_angstrom": [[5.329, 0.000, 0.000], [0.000, 5.329, 0.000], [0.000, 0.000, 5.315]], "species": ["Co", "Ca", "La", "La", "Tl"], "frac_coords": [[0.000, 0.000, 0.000], [0.500, 0.500, 0.500], [0.500, 0.000, 0.000], [0.000, 0.500, 0.000], [0.000, 0.000, 0.500]], "formation_enthalpy_0k_ev_per_atom": -0.129, "m_tot_mub_per_fu": 0.0, "dft_energy_ry_per_atom": -0.323}